[1]
DFT (PBE-GGA) results for PmTmHg6 after structural relaxation.

Summary:
For the magnetic moment, the calculation gives 0.0 μB/f.u. Its density of states at the Fermi level is 5.44 states/eV per cell. The total energy comes out at -13.76 eV for the cell shown. For the excess energy over the best structure of this formula in the dataset, the calculation gives 0 meV per atom.

a = 5.0228 Å, b = 6.6619 Å, c = 6.6619 Å
α = 60.89°, β = 90.00°, γ = 90.00°
Atoms (fractional coordinates):
Pm 0.0000 0.0000 0.0000
Tm 0.5000 0.6799 0.6799
Hg 0.0000 0.0064 0.5004
Hg 0.0000 0.5004 0.0064
Hg 0.0000 0.5118 0.5118
Hg 0.5000 0.1732 0.1732
Hg 0.5000 0.1841 0.6624
Hg 0.5000 0.6624 0.1841



[2]
DFT (PBE-GGA) results for PmTm2Hg after structural relaxation.

Summary:
For the magnetic moment, the calculation gives 0.0 μB/f.u. Its density of states at the Fermi level is 4.02 states/eV per cell. The total energy comes out at -14.94 eV for the cell shown. For the excess energy over the best structure of this formula in the dataset, the calculation gives 0 meV per atom.

a = 3.5896 Å, b = 3.5896 Å, c = 8.8891 Å
α = 90.00°, β = 90.00°, γ = 90.00°
Atoms (fractional coordinates):
Pm 0.0000 0.0000 0.0000
Tm 0.5000 0.5000 0.2830
Tm 0.5000 0.5000 0.7170
Hg 0.0000 0.0000 0.5000



[3]
DFT (PBE-GGA) results for Pm6Tm2Hg after structural relaxation.

Summary:
For the magnetic moment, the calculation gives 0.0 μB/f.u. Its density of states at the Fermi level is 11.47 states/eV per cell. The total energy comes out at -37.73 eV for the cell shown.

a = 9.6236 Å, b = 9.6236 Å, c = 9.6236 Å
α = 158.58°, β = 115.48°, γ = 68.83°
Atoms (fractional coordinates):
Pm 0.0149 0.1772 0.8377
Pm 0.2982 0.5000 0.7982
Pm 0.3396 0.1772 0.1623
Pm 0.6604 0.8228 0.8377
Pm 0.7018 0.5000 0.2018
Pm 0.9851 0.8228 0.1623
Tm 0.3470 0.8470 0.5000
Tm 0.6530 0.1530 0.5000
Hg 0.0000 0.0000 0.0000



[4]
DFT (PBE-GGA) results for PmTm7Hg4 after structural relaxation.

Summary:
For the magnetic moment, the calculation gives 0.0 μB/f.u. Its density of states at the Fermi level is 11.54 states/eV per cell. The total energy comes out at -38.32 eV for the cell shown.

a = 7.7683 Å, b = 7.7683 Å, c = 9.6241 Å
α = 119.72°, β = 119.72°, γ = 42.50°
Atoms (fractional coordinates):
Pm 0.0000 0.0000 0.0000
Tm 0.0674 0.0674 0.4070
Tm 0.2079 0.2079 0.8828
Tm 0.2684 0.2684 0.3170
Tm 0.5000 0.5000 0.0000
Tm 0.7316 0.7316 0.6830
Tm 0.7921 0.7921 0.1172
Tm 0.9326 0.9326 0.5930
Hg 0.3108 0.3108 0.6628
Hg 0.4531 0.4531 0.2742
Hg 0.5469 0.5469 0.7258
Hg 0.6892 0.6892 0.3372



[5]
DFT (PBE-GGA) results for Pm4TmHg4 after structural relaxation.

Summary:
For the magnetic moment, the calculation gives 0.0 μB/f.u. Its density of states at the Fermi level is 14.27 states/eV per cell. The total energy comes out at -54.08 eV for the cell shown.

a = 9.5528 Å, b = 9.5528 Å, c = 5.7028 Å
α = 90.00°, β = 90.00°, γ = 90.00°
Atoms (fractional coordinates):
Pm 0.0919 0.8370 0.1395
Pm 0.1630 0.5919 0.6395
Pm 0.3370 0.9081 0.6395
Pm 0.4081 0.6630 0.1395
Pm 0.5919 0.3370 0.8605
Pm 0.6630 0.0919 0.3605
Pm 0.8370 0.4081 0.3605
Pm 0.9081 0.1630 0.8605
Tm 0.2500 0.2500 0.7500
Tm 0.7500 0.7500 0.2500
Hg 0.0525 0.1480 0.3651
Hg 0.1480 0.4475 0.1349
Hg 0.3520 0.0525 0.1349
Hg 0.4475 0.3520 0.3651
Hg 0.5525 0.6480 0.6349
Hg 0.6480 0.9475 0.8651
Hg 0.8520 0.5525 0.8651
Hg 0.9475 0.8520 0.6349



[6]
DFT (PBE-GGA) results for PmTm6Hg2 after structural relaxation.

Summary:
For the magnetic moment, the calculation gives 0.0 μB/f.u. Its density of states at the Fermi level is 10.22 states/eV per cell. The total energy comes out at -33.96 eV for the cell shown.

a = 6.5205 Å, b = 6.5205 Å, c = 11.7403 Å
α = 107.70°, β = 107.70°, γ = 32.80°
Atoms (fractional coordinates):
Pm 0.0000 0.0000 0.0000
Tm 0.0140 0.0140 0.3404
Tm 0.3123 0.3123 0.1250
Tm 0.3130 0.3130 0.4180
Tm 0.6870 0.6870 0.5820
Tm 0.6877 0.6877 0.8750
Tm 0.9860 0.9860 0.6596
Hg 0.3503 0.3503 0.7820
Hg 0.6497 0.6497 0.2180



[7]
DFT (PBE-GGA) results for Pm2Tm2Hg3 after structural relaxation.

Summary:
For the magnetic moment, the calculation gives 0.4 μB/f.u. Its density of states at the Fermi level is 9.13 states/eV per cell. The total energy comes out at -21.56 eV for the cell shown.

a = 9.0826 Å, b = 9.0826 Å, c = 9.0826 Å
α = 33.15°, β = 33.15°, γ = 33.15°
Atoms (fractional coordinates):
Pm 0.1270 0.1270 0.1270
Pm 0.8730 0.8730 0.8730
Tm 0.3764 0.3764 0.3764
Tm 0.6236 0.6236 0.6236
Hg 0.0000 0.0000 0.0000
Hg 0.2524 0.2524 0.2524
Hg 0.7476 0.7476 0.7476



[8]
DFT (PBE-GGA) results for Pm5Tm4Hg after structural relaxation.

Summary:
For the magnetic moment, the calculation gives 0.0 μB/f.u. Its density of states at the Fermi level is 14.43 states/eV per cell. The total energy comes out at -42.63 eV for the cell shown.

a = 3.6119 Å, b = 3.6119 Å, c = 24.0303 Å
α = 90.00°, β = 90.00°, γ = 90.00°
Atoms (fractional coordinates):
Pm 0.0000 0.0000 0.0000
Pm 0.0000 0.0000 0.2057
Pm 0.0000 0.0000 0.4132
Pm 0.0000 0.0000 0.5868
Pm 0.0000 0.0000 0.7943
Tm 0.5000 0.5000 0.1029
Tm 0.5000 0.5000 0.3088
Tm 0.5000 0.5000 0.6912
Tm 0.5000 0.5000 0.8971
Hg 0.5000 0.5000 0.5000



[9]
DFT (PBE-GGA) results for Pm2TmHg2 after structural relaxation.

Summary:
For the magnetic moment, the calculation gives 0.3 μB/f.u. Its density of states at the Fermi level is 10.34 states/eV per cell. The total energy comes out at -32.82 eV for the cell shown. For the excess energy over the best structure of this formula in the dataset, the calculation gives 0 meV per atom.

a = 3.7579 Å, b = 5.3097 Å, c = 14.1165 Å
α = 90.00°, β = 97.63°, γ = 90.00°
Atoms (fractional coordinates):
Pm 0.0458 0.2500 0.0898
Pm 0.2334 0.2500 0.4684
Pm 0.7666 0.7500 0.5316
Pm 0.9542 0.7500 0.9102
Tm 0.1477 0.7500 0.2940
Tm 0.8523 0.2500 0.7060
Hg 0.3590 0.7500 0.7180
Hg 0.4434 0.2500 0.8879
Hg 0.5566 0.7500 0.1121
Hg 0.6410 0.2500 0.2820



[10]
DFT (PBE-GGA) results for Pm2TmHg2 after structural relaxation.

Summary:
For the magnetic moment, the calculation gives 0.0 μB/f.u. Its density of states at the Fermi level is 6.35 states/eV per cell. The total energy comes out at -16.04 eV for the cell shown. For the excess energy over the best structure of this formula in the dataset, the calculation gives 74 meV per atom.

a = 6.4560 Å, b = 6.4560 Å, c = 6.4560 Å
α = 142.81°, β = 111.98°, γ = 80.16°
Atoms (fractional coordinates):
Pm 0.2079 0.2079 0.0000
Pm 0.7921 0.7921 0.0000
Tm 0.5000 0.0000 0.5000
Hg 0.2080 0.5000 0.7080
Hg 0.7920 0.5000 0.2920



[11]
DFT (PBE-GGA) results for Pm9Tm4Hg11 after structural relaxation.

Summary:
For the magnetic moment, the calculation gives 3.4 μB/f.u. Its density of states at the Fermi level is 22.36 states/eV per cell. The total energy comes out at -73.11 eV for the cell shown.

a = 14.0664 Å, b = 14.0664 Å, c = 3.5471 Å
α = 90.00°, β = 90.00°, γ = 111.65°
Atoms (fractional coordinates):
Pm 0.0000 0.0000 0.0000
Pm 0.1323 0.6428 0.0000
Pm 0.2926 0.4547 0.0000
Pm 0.3572 0.8677 0.0000
Pm 0.4547 0.2926 0.0000
Pm 0.5453 0.7074 0.0000
Pm 0.6428 0.1323 0.0000
Pm 0.7074 0.5453 0.0000
Pm 0.8677 0.3572 0.0000
Tm 0.0544 0.2472 0.0000
Tm 0.2472 0.0544 0.0000
Tm 0.7528 0.9456 0.0000
Tm 0.9456 0.7528 0.0000
Hg 0.0839 0.4381 0.5000
Hg 0.1373 0.8627 0.5000
Hg 0.2245 0.2245 0.5000
Hg 0.3361 0.6639 0.5000
Hg 0.4381 0.0839 0.5000
Hg 0.5000 0.5000 0.5000
Hg 0.5619 0.9161 0.5000
Hg 0.6639 0.3361 0.5000
Hg 0.7755 0.7755 0.5000
Hg 0.8627 0.1373 0.5000
Hg 0.9161 0.5619 0.5000



[12]
DFT (PBE-GGA) results for Pm5TmHg4 after structural relaxation.

Summary:
For the magnetic moment, the calculation gives 1.3 μB/f.u. Its density of states at the Fermi level is 12.44 states/eV per cell. The total energy comes out at -33.06 eV for the cell shown.

a = 3.7734 Å, b = 3.7734 Å, c = 20.2047 Å
α = 90.00°, β = 90.00°, γ = 90.00°
Atoms (fractional coordinates):
Pm 0.0000 0.0000 0.0000
Pm 0.0000 0.0000 0.1906
Pm 0.0000 0.0000 0.3824
Pm 0.0000 0.0000 0.6176
Pm 0.0000 0.0000 0.8094
Tm 0.5000 0.5000 0.5000
Hg 0.5000 0.5000 0.0957
Hg 0.5000 0.5000 0.2889
Hg 0.5000 0.5000 0.7111
Hg 0.5000 0.5000 0.9043



| no. | calculated formation energy (kJ/mol of atoms) |
| --- | --- |
| 1 | -32.9 |
| 2 | -22.8 |
| 3 | 0.2 |
| 4 | -8.5 |
| 5 | -25.3 |
| 6 | -19.0 |
| 7 | -30.5 |
| 8 | -6.7 |
| 9 | -35.3 |
| 10 | -28.2 |
| 11 | -36.8 |
| 12 | -35.0 |